Compound: PrH
Source: Alexandria
Functional: GGA-PBE
Structure: optimized geometry

Cell and atoms, written as POSCAR:
```
PrH
1.0
-1.921 1.174 -2.818
-2.908 -1.718 1.266
0.781 5.442 4.043
Pr H
2 2
Direct
0.871 0.871 0.742
0.129 0.129 0.258
0.500 0.000 0.000
0.000 0.500 0.000
```

space group	I4/mmm (139)
ρ	5723	kg/m3
E_tot	-0.3113	Ry/atom
total moment	0.000	μB/cell
volume	20.59	Å³ per atom